#1
The following is a GGA-PBE calculation of a geometry-optimized FeNi2Ir3 structure, from Alexandria.

Lattice parameters (Å, degrees): 2.6840 5.2468 13.4704 123.79 90.00 90.00
Last column: nearest neighbours and their distance in Å.
Fractional coordinates of all 12 atoms:
Fe (0.5000, 0.7499, 0.5000)  6 Ir 2.62, 4 Ni 2.66, 2 Fe 2.68
Fe (0.0000, 0.2501, 0.0000)  6 Ir 2.62, 4 Ni 2.66, 2 Fe 2.68
Ni (0.5000, 0.7527, 0.8358)  6 Ir 2.59-2.63, 2 Fe 2.66, 4 Ni 2.68-2.71
Ni (0.0000, 0.2473, 0.6642)  6 Ir 2.59-2.63, 2 Fe 2.66, 4 Ni 2.68-2.71
Ni (0.5000, 0.7474, 0.1642)  6 Ir 2.59-2.63, 2 Fe 2.66, 4 Ni 2.68-2.71
Ni (0.0000, 0.2526, 0.3358)  6 Ir 2.59-2.63, 2 Fe 2.66, 4 Ni 2.68-2.71
Ir (0.5000, 0.2500, 0.5000)  4 Ni 2.59, 2 Fe 2.62, 6 Ir 2.68
Ir (0.0000, 0.7500, 0.0000)  4 Ni 2.59, 2 Fe 2.62, 6 Ir 2.68
Ir (0.0000, 0.7491, 0.3326)  4 Ni 2.62-2.63, 2 Fe 2.62, 6 Ir 2.67-2.68
Ir (0.5000, 0.2509, 0.1674)  4 Ni 2.62-2.63, 2 Fe 2.62, 6 Ir 2.67-2.68
Ir (0.0000, 0.7508, 0.6674)  4 Ni 2.62-2.63, 2 Fe 2.62, 6 Ir 2.67-2.68
Ir (0.5000, 0.2492, 0.8326)  4 Ni 2.62-2.63, 2 Fe 2.62, 6 Ir 2.67-2.68

#2
The following is a GGA-PBE calculation of a geometry-optimized FeNi2Ir3 structure, from Alexandria.

Lattice parameters (Å, degrees): 4.4976 7.8229 6.5359 126.76 110.13 90.00
Last column: nearest neighbours and their distance in Å.
Fractional coordinates of all 12 atoms:
Fe (0.6696, 0.2500, 0.5000)  2 Ni 2.37, 2 Ir 2.46
Fe (0.3304, 0.7500, 0.5000)  2 Ni 2.37, 2 Ir 2.46
Ni (0.9112, 0.8797, 0.7595)  2 Ni 2.29-2.45, 1 Fe 2.37, 2 Ir 2.51
Ni (0.3483, 0.3797, 0.7595)  2 Ni 2.29-2.45, 1 Fe 2.37, 2 Ir 2.51
Ni (0.6517, 0.6203, 0.2405)  2 Ni 2.29-2.45, 1 Fe 2.37, 2 Ir 2.51
Ni (0.0888, 0.1203, 0.2405)  2 Ni 2.29-2.45, 1 Fe 2.37, 2 Ir 2.51
Ir (0.0000, 0.6673, 0.0000)  5 Ir 2.59-2.70, 2 Fe 2.73, 4 Ni 2.73-2.84
Ir (0.0000, 0.3327, 0.0000)  5 Ir 2.59-2.70, 2 Fe 2.73, 4 Ni 2.73-2.84
Ir (0.5000, 0.8327, 0.0000)  5 Ir 2.59-2.70, 2 Fe 2.73, 4 Ni 2.73-2.84
Ir (0.0000, 0.0000, 0.5000)  2 Fe 2.46, 4 Ni 2.51, 4 Ir 2.70
Ir (0.0000, 0.5000, 0.5000)  2 Fe 2.46, 4 Ni 2.51, 4 Ir 2.70
Ir (0.5000, 0.1673, 0.0000)  5 Ir 2.59-2.70, 2 Fe 2.73, 4 Ni 2.73-2.84

Most stable: #1 (next structure +249 meV per atom)

#1
The following is a GGA-PBE calculation of a geometry-optimized Fe4NiIr structure, from Alexandria.

Lattice parameters (Å, degrees): 4.6730 4.6730 4.6730 60.00 60.00 60.00
Last column: nearest neighbours and their distance in Å.
Fractional coordinates of all 6 atoms:
Fe (0.6252, 0.6252, 0.1244)  6 Fe 2.33-2.34
Fe (0.6252, 0.1244, 0.6252)  6 Fe 2.33-2.34
Fe (0.6252, 0.6252, 0.6252)  6 Fe 2.33-2.34
Fe (0.1244, 0.6252, 0.6252)  6 Fe 2.33-2.34
Ni (0.0000, 0.0000, 0.0000)  12 Fe 2.74, 4 Ir 2.86
Ir (0.2500, 0.2500, 0.2500)  12 Fe 2.74, 4 Ni 2.86

#2
The following is a GGA-PBE calculation of a geometry-optimized Fe4NiIr structure, from Alexandria.

Lattice parameters (Å, degrees): 4.3559 5.0792 7.9872 58.27 90.99 101.97
Last column: nearest neighbours and their distance in Å.
Fractional coordinates of all 12 atoms:
Fe (0.7648, 0.2377, 0.4232)  10 Fe 2.43-2.71, 1 Ni 2.55, 1 Ir 2.65
Fe (0.7430, 0.2452, 0.7582)  3 Ni 2.49-2.55, 7 Fe 2.52-2.71, 2 Ir 2.64-2.68
Fe (0.2459, 0.2661, 0.5784)  9 Fe 2.43-2.69, 1 Ir 2.54, 1 Ni 2.62
Fe (0.2757, 0.2536, 0.2460)  6 Fe 2.48-2.69, 3 Ir 2.51-2.59, 2 Ni 2.57-2.68
Fe (0.2352, 0.7623, 0.5768)  10 Fe 2.43-2.71, 1 Ni 2.55, 1 Ir 2.65
Fe (0.7541, 0.7339, 0.4216)  9 Fe 2.43-2.69, 1 Ir 2.54, 1 Ni 2.62
Fe (0.2570, 0.7548, 0.2418)  3 Ni 2.49-2.55, 7 Fe 2.52-2.71, 2 Ir 2.64-2.68
Fe (0.7243, 0.7464, 0.7540)  6 Fe 2.48-2.69, 3 Ir 2.51-2.59, 2 Ni 2.57-2.68
Ni (0.2554, 0.2586, 0.9085)  7 Fe 2.49-2.68, 4 Ir 2.53-2.62, 1 Ni 2.76
Ni (0.7446, 0.7414, 0.0915)  7 Fe 2.49-2.68, 4 Ir 2.53-2.62, 1 Ni 2.76
Ir (0.2350, 0.7565, 0.9102)  7 Fe 2.51-2.68, 4 Ni 2.53-2.62, 1 Ir 2.65
Ir (0.7650, 0.2435, 0.0898)  7 Fe 2.51-2.68, 4 Ni 2.53-2.62, 1 Ir 2.65

Most stable: #2 (next structure +75 meV per atom)

#1
The following is a GGA-PBE calculation of a geometry-optimized FeNi8Ir2 structure, from Alexandria.

Lattice parameters (Å, degrees): 3.6104 5.7270 6.7367 105.19 105.54 90.00
Last column: nearest neighbours and their distance in Å.
Fractional coordinates of all 11 atoms:
Ni (0.5875, 0.4482, 0.1749)  8 Ni 2.50-2.62, 1 Fe 2.51, 3 Ir 2.56-2.63
Ni (0.3199, 0.0849, 0.6399)  1 Fe 2.51, 3 Ir 2.52-2.56, 8 Ni 2.53-2.63
Ni (0.1321, 0.1779, 0.2643)  7 Ni 2.49-2.63, 2 Fe 2.51, 3 Ir 2.59-2.60
Ni (0.0447, 0.7293, 0.0895)  9 Ni 2.49-2.58, 1 Ir 2.52, 2 Fe 2.55
Ni (0.8679, 0.8221, 0.7357)  7 Ni 2.49-2.63, 2 Fe 2.51, 3 Ir 2.59-2.60
Ni (0.6801, 0.9151, 0.3601)  1 Fe 2.51, 3 Ir 2.52-2.56, 8 Ni 2.53-2.63
Ni (0.4125, 0.5518, 0.8251)  8 Ni 2.50-2.62, 1 Fe 2.51, 3 Ir 2.56-2.63
Ni (0.9553, 0.2707, 0.9105)  9 Ni 2.49-2.58, 1 Ir 2.52, 2 Fe 2.55
Ir (0.2241, 0.6395, 0.4482)  10 Ni 2.52-2.63, 2 Ir 2.62
Ir (0.7759, 0.3605, 0.5518)  10 Ni 2.52-2.63, 2 Ir 2.62
Fe (0.5000, 0.0000, 0.0000)  12 Ni 2.51-2.55

#2
The following is a GGA-PBE calculation of a geometry-optimized FeNi8Ir2 structure, from Alexandria.

Lattice parameters (Å, degrees): 4.3867 6.6296 7.0823 62.09 71.98 48.62
Last column: nearest neighbours and their distance in Å.
Fractional coordinates of all 11 atoms:
Fe (0.5000, 0.0000, 0.0000)  4 Ni 2.43-2.70
Ni (0.7603, 0.1034, 0.2737)  7 Ni 2.39-2.60, 3 Ir 2.57-2.61
Ni (0.7603, 0.3771, 0.7263)  7 Ni 2.39-2.60, 3 Ir 2.57-2.61
Ni (0.2514, 0.4972, 0.0000)  6 Ni 2.18-2.42
Ni (0.5000, 0.8061, 0.3878)  1 Fe 2.43, 6 Ni 2.48-2.60, 4 Ir 2.49-2.69
Ni (0.5000, 0.1939, 0.6122)  1 Fe 2.43, 6 Ni 2.48-2.60, 4 Ir 2.49-2.69
Ni (0.7486, 0.5028, 0.0000)  6 Ni 2.18-2.42
Ni (0.2397, 0.6229, 0.2737)  7 Ni 2.39-2.60, 3 Ir 2.57-2.61
Ni (0.2397, 0.8966, 0.7263)  7 Ni 2.39-2.60, 3 Ir 2.57-2.61
Ir (0.0000, 0.3184, 0.3631)  12 Ni 2.49-2.69
Ir (0.0000, 0.6816, 0.6369)  12 Ni 2.49-2.69

Most stable: #1 (next structure +209 meV per atom)